The following is a PBE-GGA calculation of crystalline TaAlTe at its relaxed geometry, from Alexandria.

## Properties
For the polymorph energy (0 for the lowest one), the calculation gives 49 meV per atom. Its energy relative to the elements, uncorrected is 0.02 eV/atom. The final energy comes out at -6.2273 eV per atom.

Cell: 3.3547 3.3547 6.4727 Å, 90.00 90.00 120.00°
Fractional positions:
Ta1 0.0000 0.0000 0.0000
Al1 0.6667 0.3333 0.6918
Te1 0.3333 0.6667 0.3053

***

The following is a PBE-GGA calculation of crystalline SrTaFe2 at its relaxed geometry, from Alexandria.

## Properties
For the polymorph energy (0 for the lowest one), the calculation gives 719 meV per atom. The value obtained for the energy of formation from the pure elements is 1046.6 meV per atom. The final energy comes out at -6.5683 eV per atom.

Cell: 5.5748 5.5748 5.5748 Å, 139.46 139.46 58.67°
Fractional positions:
Sr1 0.0000 0.0000 0.0000
Ta1 0.2500 0.7500 0.5000
Fe1 0.5000 0.5000 0.0000
Fe2 0.7500 0.2500 0.5000

***

The following is a PBE-GGA calculation of crystalline BaZrAl2 at its relaxed geometry, from Alexandria.

## Properties
For the polymorph energy (0 for the lowest one), the calculation gives 599 meV per atom. The value obtained for the energy of formation from the pure elements is 423.5 meV per atom. The final energy comes out at -4.0655 eV per atom.

Cell: 10.5855 10.5855 10.5855 Å, 151.47 151.47 40.79°
Fractional positions:
Ba1 0.0000 0.0000 0.0000
Ba2 0.7500 0.2500 0.5000
Zr1 0.2500 0.7500 0.5000
Zr2 0.5000 0.5000 0.0000
Al1 0.3379 0.6250 0.2129
Al2 0.3750 0.5879 0.7129
Al3 0.4121 0.1250 0.7871
Al4 0.8750 0.6621 0.2871

***

The following is a PBE-GGA calculation of crystalline CsZrAg2Br8 at its relaxed geometry, from Alexandria.

## Properties
Its energy relative to the elements, uncorrected is -0.95 eV/atom. The final energy comes out at -3.3274 eV per atom.

Cell: 6.1330 7.1580 9.7530 Å, 85.63 75.11 85.69°
Fractional positions:
Cs1 0.0000 0.0000 0.0000
Zr1 0.5000 0.0000 0.5000
Ag1 0.1800 0.5659 0.2918
Ag2 0.8200 0.4341 0.7082
Br1 0.1812 0.8114 0.6629
Br2 0.2352 0.3220 0.5175
Br3 0.2418 0.4993 0.0198
Br4 0.3922 0.9035 0.2652
Br5 0.6078 0.0965 0.7348
Br6 0.7582 0.5007 0.9802
Br7 0.7648 0.6780 0.4825
Br8 0.8188 0.1886 0.3371

***

The following is a PBE-GGA calculation of crystalline Re3TePd at its relaxed geometry, from Alexandria.

## Properties
For the polymorph energy (0 for the lowest one), the calculation gives 0 meV per atom. Its energy relative to the elements, uncorrected is 2.51 eV/atom. The final energy comes out at -6.6249 eV per atom.

Cell: 4.7529 4.7529 4.7529 Å, 90.00 90.00 90.00°
Fractional positions:
Re1 0.0000 0.0000 0.5000
Re2 0.0000 0.5000 0.0000
Re3 0.5000 0.0000 0.0000
Te1 0.5000 0.5000 0.5000
Pd1 0.0000 0.0000 0.0000

***

The following is a PBE-GGA calculation of crystalline AcGaGeSb at its relaxed geometry, from Alexandria.

## Properties
Its energy relative to the elements, uncorrected is -0.22 eV/atom. The final energy comes out at -4.1899 eV per atom.

Cell: 5.3261 5.3261 5.3261 Å, 60.00 60.00 60.00°
Fractional positions:
Ac1 0.0000 0.0000 0.0000
Ga1 0.2500 0.2500 0.2500
Ge1 0.7500 0.7500 0.7500
Sb1 0.5000 0.5000 0.5000